Computed, not measured: an optimized crystal structure of FeTc2As at the PBE-GGA level of DFT.

a b c (Å): 4.265 4.265 3.016
angles (deg): 90.00 90.00 90.00
Space group P4/mmm (No. 123)
Symmetry-distinct sites (fractional):
1 Fe 0.000 0.000 0.000
2 Tc 0.000 0.500 0.500
3 As 0.500 0.500 0.000

Properties
energy = -33.778 eV/cell
formation energy = 0.0164 eV/atom